1.
Density functional theory data (PBE-GGA) for LaSbTeH after structural relaxation.

**Size of the total moment**: 0.000 μB per atom
**DOS(E_F)**: 0.97 states/eV per cell
**SG**: Pmm2 (25)
**ρ**: 6.2 g cm⁻³
**Distance to the lowest polymorph of the same formula**: 77 meV per atom

Cell lengths 4.121, 5.252, 4.797 Å; angles 90.00, 90.00, 90.00 degrees
Fractional positions:
1 H 0.500 0.500 0.699
2 Sb 0.000 0.000 0.475
3 Te 0.500 0.000 0.989
4 La 0.000 0.500 0.914



2.
Density functional theory data (PBE-GGA) for PaReN after structural relaxation.

**Size of the total moment**: 0.000 μB per atom
**Energy relative to the elements, uncorrected**: 0.293 eV per atom
**DOS(E_F)**: 2.88 states/eV per cell
**SG**: I4mm (107)
**ρ**: 12.4 g cm⁻³
**Distance to the lowest polymorph of the same formula**: 870 meV per atom

Cell lengths 3.933, 3.933, 4.664 Å; angles 114.94, 114.94, 90.00 degrees
Fractional positions:
1 Re 0.355 0.355 0.710
2 N 0.602 0.602 0.204
3 Pa 0.893 0.893 0.786



3.
Density functional theory data (PBE-GGA) for GaSnHgSb after structural relaxation.

**Size of the total moment**: 0.000 μB per atom
**Energy relative to the elements, uncorrected**: 0.116 eV per atom
**DOS(E_F)**: 2.36 states/eV per cell
**SG**: F-43m (216)
**ρ**: 8.1 g cm⁻³

Cell lengths 5.294, 5.294, 5.294 Å; angles 60.00, 60.00, 60.00 degrees
Fractional positions:
1 Ga 0.500 0.500 0.500
2 Sn 0.000 0.000 0.000
3 Sb 0.250 0.250 0.250
4 Hg 0.750 0.750 0.750



4.
Density functional theory data (PBE-GGA) for Tb2HfSc after structural relaxation.

**E_form**: 0.121 eV/atom
**Size of the total moment**: 0.002 μB per atom
**DOS(E_F)**: 6.55 states/eV per cell
**SG**: P4/mmm (123)
**ρ**: 8.3 g cm⁻³
**Distance to the lowest polymorph of the same formula**: 0 meV per atom

Cell lengths 3.367, 3.367, 9.574 Å; angles 90.00, 90.00, 90.00 degrees
Fractional positions:
1 Tb 0.000 0.000 0.260
2 Tb 0.000 0.000 0.740
3 Sc 0.500 0.500 0.000
4 Hf 0.500 0.500 0.500



Number 4 is which compound? Tb2HfSc